Ac4Eu2Co | Alexandria via LeMat-Bulk | PBE | relaxed; crystal system = tetragonal; final energy = -6.144 eV/atom; ΔE_f = 0.15 eV per atom
1.0
-2.820 2.820 9.672
2.820 -2.820 9.672
2.820 2.820 -9.672
Ac Eu Co
4 2 1
direct
0.000 0.500 0.500 Ac
0.148 0.148 0.000 Ac
0.500 0.000 0.500 Ac
0.852 0.852 0.000 Ac
0.345 0.345 0.000 Eu
0.655 0.655 0.000 Eu
0.000 0.000 0.000 Co

***

PaTiNb6 | Alexandria via LeMat-Bulk | PBE | relaxed; crystal system = orthorhombic; final energy = -9.725 eV/atom; ΔE_f = 0.00 eV per atom
1.0
3.350 -4.723 0.000
3.350 4.723 0.000
0.000 0.000 4.730
Pa Ti Nb
1 1 6
direct
0.000 0.000 0.000 Pa
0.500 0.500 0.000 Ti
0.000 0.500 0.000 Nb
0.243 0.243 0.500 Nb
0.259 0.741 0.500 Nb
0.500 0.000 0.000 Nb
0.741 0.259 0.500 Nb
0.757 0.757 0.500 Nb

***

Ti2VSn | Alexandria via LeMat-Bulk | PBE | relaxed; crystal system = trigonal; final energy = -7.174 eV/atom; ΔE_f = 0.05 eV per atom
1.0
1.533 0.885 8.839
-1.533 0.885 8.839
0.000 -1.771 8.839
Ti V Sn
2 1 1
direct
0.242 0.242 0.242 Ti
0.758 0.758 0.758 Ti
0.500 0.500 0.500 V
0.000 0.000 0.000 Sn

***

Tm3MnCo8 | Alexandria via LeMat-Bulk | PBE | relaxed; crystal system = trigonal; final energy = -6.815 eV/atom; ΔE_f = -0.20 eV per atom
1.0
2.477 1.430 8.098
-2.477 1.430 8.098
0.000 -2.860 8.098
Tm Mn Co
3 1 8
direct
0.000 0.000 0.000 Tm
0.128 0.128 0.128 Tm
0.619 0.619 0.619 Tm
0.497 0.497 0.497 Mn
0.060 0.060 0.560 Co
0.060 0.560 0.060 Co
0.067 0.562 0.562 Co
0.312 0.312 0.312 Co
0.560 0.060 0.060 Co
0.562 0.067 0.562 Co
0.562 0.562 0.067 Co
0.812 0.812 0.812 Co

***

AlHgPO2 | Alexandria via LeMat-Bulk | PBE | relaxed; crystal system = tetragonal; distance to the lowest polymorph of the same formula = 1391 meV/atom; final energy = -3.266 eV/atom; E_form (uncorrected) = 0.61 eV per atom
1.0
4.087 0.000 0.000
0.000 4.087 0.000
0.000 0.000 5.214
Al Hg P O
1 1 1 2
direct
0.000 0.000 0.000 Al
0.500 0.500 0.500 Hg
0.500 0.500 0.000 P
0.000 0.500 0.500 O
0.500 0.000 0.500 O

***

PmPuHgAs | Alexandria via LeMat-Bulk | PBE | relaxed; crystal system = cubic; final energy = -6.555 eV/atom; ΔE_f = -0.55 eV per atom
1.0
0.000 3.696 3.696
3.696 0.000 3.696
3.696 3.696 0.000
Pm Pu Hg As
1 1 1 1
direct
0.000 0.000 0.000 Pm
0.500 0.500 0.500 Pu
0.750 0.750 0.750 Hg
0.250 0.250 0.250 As

***

ZnFe4Re | Alexandria via LeMat-Bulk | PBE | relaxed; crystal system = cubic; final energy = -7.784 eV/atom; ΔE_f = 0.14 eV per atom
1.0
0.000 3.313 3.313
3.313 0.000 3.313
3.313 3.313 0.000
Zn Fe Re
1 4 1
direct
0.000 0.000 0.000 Zn
0.126 0.625 0.625 Fe
0.625 0.126 0.625 Fe
0.625 0.625 0.126 Fe
0.625 0.625 0.625 Fe
0.250 0.250 0.250 Re

***

Q: Among the records above, which one has the highest final energy?
A: AlHgPO2

***

Q: The highest final energy belongs to which entry?
A: AlHgPO2

***

Q: What is the final energy in the first record?
A: -6.144 eV/atom